[1]
ReSbI2Br: single point on PBEsol structure, SCAN.

It has space group P4/mmm (No. 123), with a = 5.709 Å, b = 5.709 Å, c = 5.591 Å, α = 90.00°, β = 90.00° and γ = 90.00°. Symmetry generates all atoms from Re at (0.000, 0.000, 0.000), Sb at (0.500, 0.500, 0.000), I at (0.000, 0.500, 0.500) and Br at (0.500, 0.500, 0.500).

For the total magnetization, the calculation gives 0.8528 μB per atom. As for the energy relative to the elements, uncorrected: 9.22 eV/f.u. As for the density of states at the Fermi level: 0.876 states/eV/atom.



[2]
TaRe2IBr: single point on PBEsol structure, SCAN.

It has space group P4/mmm (No. 123), with a = 4.612 Å, b = 4.612 Å, c = 4.729 Å, α = 90.00°, β = 90.00° and γ = 90.00°. Symmetry generates all atoms from Ta at (0.000, 0.000, 0.000), Re at (0.000, 0.500, 0.500), I at (0.500, 0.500, 0.000) and Br at (0.000, 0.000, 0.500).

For the total magnetization, the calculation gives 0.2802 μB per atom. As for the energy relative to the elements, uncorrected: 12.92 eV/f.u. As for the density of states at the Fermi level: 0.902 states/eV/atom.



[3]
RhSeIBr2: single point on PBEsol structure, SCAN.

It has space group P4/mmm (No. 123), with a = 5.016 Å, b = 5.016 Å, c = 4.808 Å, α = 90.00°, β = 90.00° and γ = 90.00°. Symmetry generates all atoms from Rh at (0.000, 0.000, 0.000), Se at (0.000, 0.000, 0.500), I at (0.500, 0.500, 0.500) and Br at (0.000, 0.500, 0.000).

For the total magnetization, the calculation gives 0.0000 μB per atom. As for the energy relative to the elements, uncorrected: 0.95 eV/f.u. As for the density of states at the Fermi level: 1.059 states/eV/atom.



[4]
SnRhIBr2: single point on PBEsol structure, SCAN.

It has space group P4/mmm (No. 123), with a = 4.914 Å, b = 4.914 Å, c = 5.393 Å, α = 90.00°, β = 90.00° and γ = 90.00°. Symmetry generates all atoms from Sn at (0.000, 0.000, 0.000), Rh at (0.000, 0.000, 0.500), I at (0.500, 0.500, 0.000) and Br at (0.000, 0.500, 0.500).

For the total magnetization, the calculation gives 0.0000 μB per atom. As for the energy relative to the elements, uncorrected: -0.59 eV/f.u. As for the density of states at the Fermi level: 0.730 states/eV/atom.



[5]
Tc2RhIBr: single point on PBEsol structure, SCAN.

It has space group P4/mmm (No. 123), with a = 4.841 Å, b = 4.841 Å, c = 5.152 Å, α = 90.00°, β = 90.00° and γ = 90.00°. Symmetry generates all atoms from Tc at (0.000, 0.500, 0.000), Rh at (0.000, 0.000, 0.000), I at (0.000, 0.000, 0.500) and Br at (0.500, 0.500, 0.500).

For the total magnetization, the calculation gives 1.5391 μB per atom. As for the energy relative to the elements, uncorrected: 7.18 eV/f.u. As for the density of states at the Fermi level: 1.057 states/eV/atom.



[6]
SbRuI2Br: single point on PBEsol structure, SCAN.

It has space group P4/mmm (No. 123), with a = 5.322 Å, b = 5.322 Å, c = 5.043 Å, α = 90.00°, β = 90.00° and γ = 90.00°. Symmetry generates all atoms from Sb at (0.000, 0.000, 0.000), Ru at (0.000, 0.000, 0.500), I at (0.000, 0.500, 0.500) and Br at (0.500, 0.500, 0.000).

For the total magnetization, the calculation gives 0.0006 μB per atom. As for the energy relative to the elements, uncorrected: 1.71 eV/f.u. As for the density of states at the Fermi level: 1.129 states/eV/atom.